The following is a DFT calculation (PBE) of SrSbIO6 after structural relaxation.

```
data_SrSbIO6
_cell_length_a 5.5211
_cell_length_b 5.5211
_cell_length_c 10.7800
_cell_angle_alpha 90.00
_cell_angle_beta 90.00
_cell_angle_gamma 120.00
_symmetry_space_group_name_H-M 'P -3 1 c'
_symmetry_Int_Tables_number 163
_symmetry_space_group_name_Hall '-P 3 2c'
loop_
_atom_site_label
_atom_site_type_symbol
_atom_site_fract_x
_atom_site_fract_y
_atom_site_fract_z
_atom_site_occupancy
Sr1 Sr 0.0000 0.0000 0.0000 1
Sb1 Sb 0.3333 0.6667 0.2500 1
I1 I 0.3333 0.6667 0.7500 1
O1 O 0.0145 0.3814 0.1449 1
```

Calculated values
For the formation energy from raw total energies, the calculation gives -1.374 eV/atom. The volume is 284.58 Å³ per cell. For the size of the total moment, the calculation gives 0.0 μB/cell.

=====

The following is a DFT calculation (PBE) of TbSm4Tm after structural relaxation.

```
data_TbSm4Tm
_cell_length_a 11.620
_cell_length_b 11.631
_cell_length_c 3.457
_cell_angle_alpha 90.00
_cell_angle_beta 90.00
_cell_angle_gamma 90.00
_symmetry_space_group_name_H-M 'C m m m'
_symmetry_Int_Tables_number 65
_symmetry_space_group_name_Hall '-C 2 2'
loop_
_atom_site_label
_atom_site_type_symbol
_atom_site_fract_x
_atom_site_fract_y
_atom_site_fract_z
_atom_site_occupancy
Tb1 Tb 0.000 0.000 0.000 1
Sm1 Sm 0.000 0.262 0.000 1
Sm2 Sm 0.240 0.000 0.500 1
Tm1 Tm 0.000 0.500 0.500 1
```

Calculated values
Its energy above the most stable polymorph in this dataset is 630 meV per atom. The volume is 467.25 Å³ per cell. For the size of the total moment, the calculation gives 0.0 μB/cell. The formation enthalpy at 0 K comes out at 646.8 meV/atom.

=====

The following is a DFT calculation (PBE) of YPt3W after structural relaxation.

```
data_YPt3W
_cell_length_a 4.876
_cell_length_b 4.876
_cell_length_c 4.876
_cell_angle_alpha 90.00
_cell_angle_beta 90.00
_cell_angle_gamma 90.00
_symmetry_space_group_name_H-M 'P m -3 m'
_symmetry_Int_Tables_number 221
_symmetry_space_group_name_Hall '-P 4 2 3'
loop_
_atom_site_label
_atom_site_type_symbol
_atom_site_fract_x
_atom_site_fract_y
_atom_site_fract_z
_atom_site_occupancy
Y1 Y 0.000 0.000 0.000 1
Pt1 Pt 0.000 0.500 0.500 1
W1 W 0.500 0.500 0.500 1
```

Calculated values
Its energy above the most stable polymorph in this dataset is 0 meV per atom. The volume is 115.89 Å³ per cell. For the size of the total moment, the calculation gives 0.0 μB/cell. The formation enthalpy at 0 K comes out at 154.1 meV/atom.

=====

The following is a DFT calculation (PBE) of Sm2RuPb after structural relaxation.

```
data_Sm2RuPb
_cell_length_a 5.004
_cell_length_b 5.004
_cell_length_c 3.985
_cell_angle_alpha 90.00
_cell_angle_beta 90.00
_cell_angle_gamma 90.00
_symmetry_space_group_name_H-M 'P 4/m m m'
_symmetry_Int_Tables_number 123
_symmetry_space_group_name_Hall '-P 4 2'
loop_
_atom_site_label
_atom_site_type_symbol
_atom_site_fract_x
_atom_site_fract_y
_atom_site_fract_z
_atom_site_occupancy
Sm1 Sm 0.000 0.500 0.000 1
Ru1 Ru 0.000 0.000 0.500 1
Pb1 Pb 0.500 0.500 0.500 1
```

Calculated values
Its energy above the most stable polymorph in this dataset is 172 meV per atom. The volume is 99.78 Å³ per cell. For the size of the total moment, the calculation gives 0.0 μB/cell. The formation enthalpy at 0 K comes out at -215.1 meV/atom.

=====

The following is a DFT calculation (PBE) of CsAcAs2 after structural relaxation.

```
data_CsAcAs2
_cell_length_a 5.370
_cell_length_b 5.370
_cell_length_c 4.379
_cell_angle_alpha 90.00
_cell_angle_beta 90.00
_cell_angle_gamma 90.00
_symmetry_space_group_name_H-M 'P 4/m m m'
_symmetry_Int_Tables_number 123
_symmetry_space_group_name_Hall '-P 4 2'
loop_
_atom_site_label
_atom_site_type_symbol
_atom_site_fract_x
_atom_site_fract_y
_atom_site_fract_z
_atom_site_occupancy
Cs1 Cs 0.000 0.000 0.000 1
Ac1 Ac 0.500 0.500 0.000 1
As1 As 0.000 0.500 0.500 1
```

Calculated values
Its energy above the most stable polymorph in this dataset is 452 meV per atom. The volume is 126.28 Å³ per cell. For the size of the total moment, the calculation gives 0.0 μB/cell. The formation enthalpy at 0 K comes out at -399.0 meV/atom.

=====

The following is a DFT calculation (PBE) of K2Si2HgSe6 after structural relaxation.

```
data_K2Si2HgSe6
_cell_length_a 7.3327
_cell_length_b 7.3327
_cell_length_c 23.9072
_cell_angle_alpha 90.00
_cell_angle_beta 90.00
_cell_angle_gamma 120.00
_symmetry_space_group_name_H-M 'R -3 m'
_symmetry_Int_Tables_number 166
_symmetry_space_group_name_Hall '-R 3 2"'
loop_
_atom_site_label
_atom_site_type_symbol
_atom_site_fract_x
_atom_site_fract_y
_atom_site_fract_z
_atom_site_occupancy
K1 K 0.0000 0.0000 0.2196 1
Si1 Si 0.0000 0.0000 0.4180 1
Hg1 Hg 0.0000 0.0000 0.0000 1
Se1 Se 0.0127 0.5064 0.7551 1
```

Calculated values
For the formation energy from raw total energies, the calculation gives -0.479 eV/atom. The volume is 1113.22 Å³ per cell. For the size of the total moment, the calculation gives 0.0 μB/cell.

=====

The following is a DFT calculation (PBE) of Ac7Ni2Hg2 after structural relaxation.

```
data_Ac7Ni2Hg2
_cell_length_a 8.417
_cell_length_b 12.328
_cell_length_c 7.610
_cell_angle_alpha 90.00
_cell_angle_beta 90.00
_cell_angle_gamma 90.00
_symmetry_space_group_name_H-M 'C m m m'
_symmetry_Int_Tables_number 65
_symmetry_space_group_name_Hall '-C 2 2'
loop_
_atom_site_label
_atom_site_type_symbol
_atom_site_fract_x
_atom_site_fract_y
_atom_site_fract_z
_atom_site_occupancy
Ac1 Ac 0.000 0.000 0.000 1
Ac2 Ac 0.000 0.500 0.241 1
Ac3 Ac 0.250 0.250 0.250 1
Ni1 Ni 0.000 0.302 0.000 1
Hg1 Hg 0.173 0.000 0.500 1
```

Calculated values
Its energy above the most stable polymorph in this dataset is 57 meV per atom. The volume is 789.71 Å³ per cell. For the size of the total moment, the calculation gives 0.0 μB/cell. The formation enthalpy at 0 K comes out at -162.2 meV/atom.

=====

The following is a DFT calculation (PBE) of LaSm3YEr after structural relaxation.

```
data_LaSm3YEr
_cell_length_a 8.080
_cell_length_b 5.139
_cell_length_c 10.247
_cell_angle_alpha 90.00
_cell_angle_beta 108.57
_cell_angle_gamma 90.00
_symmetry_space_group_name_H-M 'P 1 21/m 1'
_symmetry_Int_Tables_number 11
loop_
_symmetry_equiv_pos_as_xyz
'x,y,z'
'-x,-y,-z'
'-x,y+1/2,-z'
'x,-y+1/2,z'
loop_
_atom_site_label
_atom_site_type_symbol
_atom_site_fract_x
_atom_site_fract_y
_atom_site_fract_z
_atom_site_occupancy
La1 La 0.168 0.250 0.293 1
Sm1 Sm 0.169 0.250 0.791 1
Sm2 Sm 0.169 0.750 0.042 1
Sm3 Sm 0.170 0.750 0.543 1
Y1 Y 0.498 0.750 0.875 1
Er1 Er 0.500 0.250 0.626 1
```

Calculated values
The volume is 403.37 Å³ per cell. For the size of the total moment, the calculation gives 0.0 μB/cell. The formation enthalpy at 0 K comes out at 26.7 meV/atom.

=====

- What is the size of the total moment in the second record?
  0.0 μB/cell